Material: K4NdNp3Se8
Method: DFT, PBE
State: optimized geometry

The structure belongs to space group R-3m (No. 166, hexagonal axes); the cell edges are 8.5896, 8.5896 and 23.0060 Å and the angles 90.00°, 90.00° and 120.00°. The asymmetric unit holds K at (0.0000, 0.0000, 0.0000), K at (0.0000, 0.5000, 0.0000), Nd at (0.0000, 0.0000, 0.5000), Np at (0.0000, 0.5000, 0.5000), Se at (0.0000, 0.0000, 0.2343) and Se at (0.0046, 0.5023, 0.7639).

As for the formation energy (no corrections): -1.379 eV/atom.


Material: K4Nd3NpSe8
Method: DFT, PBE
State: optimized geometry

The structure belongs to space group R-3m (No. 166, hexagonal axes); the cell edges are 8.6770, 8.6770 and 23.0837 Å and the angles 90.00°, 90.00° and 120.00°. The asymmetric unit holds K at (0.0000, 0.0000, 0.0000), K at (0.0000, 0.5000, 0.0000), Nd at (0.0000, 0.5000, 0.5000), Np at (0.0000, 0.0000, 0.5000), Se at (0.0000, 0.0000, 0.2373) and Se at (0.0038, 0.5019, 0.2364).

As for the formation energy (no corrections): -1.622 eV/atom.


Material: K3NdNp2Se6
Method: DFT, PBE
State: optimized geometry

The structure belongs to space group C2/m (No. 12); the cell edges are 7.443, 12.892 and 8.076 Å and the angles 90.00°, 107.90° and 90.00°. The asymmetric unit holds K at (0.000, 0.000, 0.000), K at (0.000, 0.335, 0.000), Nd at (0.000, 0.500, 0.500), Np at (0.000, 0.167, 0.500), Se at (0.230, 0.000, 0.708) and Se at (0.239, 0.330, 0.708).

As for the formation energy (no corrections): -1.417 eV/atom.


Material: K4Nd3NpTe8
Method: DFT, PBE
State: optimized geometry

The structure belongs to space group R-3m (No. 166, hexagonal axes); the cell edges are 9.2303, 9.2303 and 24.6956 Å and the angles 90.00°, 90.00° and 120.00°. The asymmetric unit holds K at (0.0000, 0.0000, 0.0000), K at (0.0000, 0.5000, 0.0000), Nd at (0.0000, 0.5000, 0.5000), Np at (0.0000, 0.0000, 0.5000), Te at (0.0000, 0.0000, 0.2385) and Te at (0.0025, 0.5012, 0.2376).

As for the formation energy (no corrections): -1.281 eV/atom.


Material: K5NdO4
Method: DFT, PBE
State: optimized geometry

The structure belongs to space group C2/m (No. 12); the cell edges are 16.652, 3.821 and 7.385 Å and the angles 90.00°, 108.05° and 90.00°. The asymmetric unit holds K at (0.000, 0.000, 0.000), K at (0.160, 0.500, 0.848), K at (0.168, 0.500, 0.393), Nd at (0.000, 0.000, 0.500), O at (0.002, 0.500, 0.282) and O at (0.155, 0.000, 0.622).

As for the formation energy (no corrections): -1.590 eV/atom.


Material: K3NdO3
Method: DFT, PBE
State: optimized geometry

The structure belongs to space group C2/m (No. 12); the cell edges are 13.687, 7.121 and 7.695 Å and the angles 90.00°, 124.17° and 90.00°. The asymmetric unit holds K at (0.000, 0.246, 0.000), K at (0.000, 0.246, 0.500), K at (0.221, 0.000, 0.470), Nd at (0.214, 0.000, 0.964), O at (0.018, 0.000, 0.768) and O at (0.250, 0.250, 0.204).

As for the formation energy (no corrections): -1.898 eV/atom.


Material: K3NdOs2O9
Method: DFT, PBE
State: optimized geometry

The structure belongs to space group P-3m1 (No. 164); the cell edges are 5.7975, 5.7975 and 7.2610 Å and the angles 90.00°, 90.00° and 120.00°. The asymmetric unit holds K at (0.0000, 0.0000, 0.0000), K at (0.3333, 0.6667, 0.6702), Nd at (0.0000, 0.0000, 0.5000), Os at (0.3333, 0.6667, 0.1485), O at (0.0000, 0.5000, 0.0000) and O at (0.1810, 0.3619, 0.3014).

As for the formation energy (no corrections): -1.683 eV/atom.


Material: KNdOsO6
Method: DFT, PBE
State: optimized geometry

The structure belongs to space group P312 (No. 149); the cell edges are 5.7748, 5.7748 and 5.7018 Å and the angles 90.00°, 90.00° and 120.00°. The asymmetric unit holds K at (0.0000, 0.0000, 0.0000), Nd at (0.3333, 0.6667, 0.5000), Os at (0.6667, 0.3333, 0.5000) and O at (0.4087, 0.0594, 0.6895).

As for the formation energy (no corrections): -1.730 eV/atom.